# 1
Computed, not measured: AgHgSeN2 after structural relaxation at the PBE level of DFT.

Output
VASP energy: -2.819 eV/atom
Calculated volume: 106.27 Å³ per cell
Excess energy over the best structure of this formula in the dataset: 181 meV per atom
Magnetic moment: 3.8 μB per formula unit

a = 4.2387 Å, b = 4.2387 Å, c = 5.9148 Å
α = 90.00°, β = 90.00°, γ = 90.00°
Space group P4/mmm (No. 123)
Unique sites:
Ag 0.0000 0.0000 0.0000 [1 per cell]
Hg 0.5000 0.5000 0.5000 [1 per cell]
Se 0.5000 0.5000 0.0000 [1 per cell]
N 0.0000 0.5000 0.5000 [2 per cell]

# 2
Computed, not measured: AgHgSeN2 after structural relaxation at the PBE level of DFT.

Output
VASP energy: -3.000 eV/atom
Calculated volume: 100.35 Å³ per cell
Excess energy over the best structure of this formula in the dataset: 0 meV per atom
Magnetic moment: 3.7 μB per formula unit

a = 4.1365 Å, b = 4.1365 Å, c = 5.8647 Å
α = 90.00°, β = 90.00°, γ = 90.00°
Space group P4/mmm (No. 123)
Unique sites:
Ag 0.0000 0.0000 0.0000 [1 per cell]
Hg 0.5000 0.5000 0.5000 [1 per cell]
Se 0.0000 0.0000 0.5000 [1 per cell]
N 0.0000 0.5000 0.0000 [2 per cell]

# 3
Computed, not measured: SrAgHg2N after structural relaxation at the PBE level of DFT.

Output
VASP energy: -1.897 eV/atom
Calculated volume: 179.61 Å³ per cell
Magnetic moment: 0.0 μB per formula unit

a = 6.4668 Å, b = 6.4668 Å, c = 4.2948 Å
α = 90.00°, β = 90.00°, γ = 90.00°
Space group P4/mmm (No. 123)
Unique sites:
Sr 0.0000 0.0000 0.0000 [1 per cell]
Ag 0.5000 0.5000 0.5000 [1 per cell]
Hg 0.0000 0.5000 0.0000 [2 per cell]
N 0.0000 0.0000 0.5000 [1 per cell]

# 4
Computed, not measured: Sr2AgHgN after structural relaxation at the PBE level of DFT.

Output
VASP energy: -3.267 eV/atom
Calculated volume: 124.29 Å³ per cell
Magnetic moment: 0.0 μB per formula unit

a = 5.3163 Å, b = 5.3163 Å, c = 4.3976 Å
α = 90.00°, β = 90.00°, γ = 90.00°
Space group P4/mmm (No. 123)
Unique sites:
Sr 0.0000 0.5000 0.0000 [2 per cell]
Ag 0.0000 0.0000 0.5000 [1 per cell]
Hg 0.5000 0.5000 0.5000 [1 per cell]
N 0.0000 0.0000 0.0000 [1 per cell]

# 5
Computed, not measured: Sr6AgHg2N after structural relaxation at the PBE level of DFT.

Output
VASP energy: -2.592 eV/atom
Calculated volume: 689.37 Å³ per cell
Magnetic moment: 0.0 μB per formula unit

a = 7.5940 Å, b = 8.2634 Å, c = 13.0151 Å
α = 90.00°, β = 122.43°, γ = 90.00°
Space group P2_1/c (No. 14)
Unique sites:
Sr 0.1137 0.0269 0.2277 [4 per cell]
Sr 0.2057 0.7171 0.0514 [4 per cell]
Sr 0.3406 0.1663 0.0495 [4 per cell]
Ag 0.5000 0.0000 0.5000 [2 per cell]
Hg 0.2900 0.0914 0.7513 [4 per cell]
N 0.0000 0.0000 0.0000 [2 per cell]

# 6
Computed, not measured: AgHgTeN2 after structural relaxation at the PBE level of DFT.

Output
VASP energy: -2.951 eV/atom
Calculated volume: 112.14 Å³ per cell
Excess energy over the best structure of this formula in the dataset: 0 meV per atom
Magnetic moment: 4.0 μB per formula unit

a = 4.2187 Å, b = 4.2187 Å, c = 6.3009 Å
α = 90.00°, β = 90.00°, γ = 90.00°
Space group P4/mmm (No. 123)
Unique sites:
Ag 0.0000 0.0000 0.0000 [1 per cell]
Hg 0.5000 0.5000 0.5000 [1 per cell]
Te 0.0000 0.0000 0.5000 [1 per cell]
N 0.0000 0.5000 0.0000 [2 per cell]

# 7
Computed, not measured: AgHgTeN2 after structural relaxation at the PBE level of DFT.

Output
VASP energy: -2.803 eV/atom
Calculated volume: 117.62 Å³ per cell
Excess energy over the best structure of this formula in the dataset: 149 meV per atom
Magnetic moment: 3.7 μB per formula unit

a = 4.2677 Å, b = 4.2677 Å, c = 6.4582 Å
α = 90.00°, β = 90.00°, γ = 90.00°
Space group P4/mmm (No. 123)
Unique sites:
Ag 0.0000 0.0000 0.0000 [1 per cell]
Hg 0.5000 0.5000 0.5000 [1 per cell]
Te 0.5000 0.5000 0.0000 [1 per cell]
N 0.0000 0.5000 0.5000 [2 per cell]

# 8
Computed, not measured: ZnAgHgN2 after structural relaxation at the PBE level of DFT.

Output
VASP energy: -2.521 eV/atom
Calculated volume: 104.03 Å³ per cell
Magnetic moment: 3.3 μB per formula unit

a = 4.1078 Å, b = 4.1078 Å, c = 6.1649 Å
α = 90.00°, β = 90.00°, γ = 90.00°
Space group P4/mmm (No. 123)
Unique sites:
Zn 0.0000 0.0000 0.0000 [1 per cell]
Ag 0.5000 0.5000 0.5000 [1 per cell]
Hg 0.5000 0.5000 0.0000 [1 per cell]
N 0.0000 0.5000 0.5000 [2 per cell]

# 9
Computed, not measured: NaAgHg3 after structural relaxation at the PBE level of DFT.

Output
VASP energy: -0.966 eV/atom
Calculated volume: 162.39 Å³ per cell
Excess energy over the best structure of this formula in the dataset: 0 meV per atom
Magnetic moment: 0.0 μB per formula unit

a = 5.4557 Å, b = 5.4557 Å, c = 5.4557 Å
α = 90.00°, β = 90.00°, γ = 90.00°
Space group Pm-3m (No. 221)
Unique sites:
Na 0.0000 0.0000 0.0000 [1 per cell]
Ag 0.5000 0.5000 0.5000 [1 per cell]
Hg 0.0000 0.5000 0.5000 [3 per cell]

# 10
Computed, not measured: Na2AgHg after structural relaxation at the PBE level of DFT.

Output
VASP energy: -1.583 eV/atom
Calculated volume: 404.56 Å³ per cell
Magnetic moment: 0.0 μB per formula unit

a = 9.2475 Å, b = 7.7062 Å, c = 5.6770 Å
α = 90.00°, β = 90.00°, γ = 90.00°
Space group Cmcm (No. 63)
Unique sites:
Na 0.1868 0.1625 0.2500 [8 per cell]
Ag 0.0000 0.5000 0.0000 [4 per cell]
Hg 0.0000 0.1705 0.7500 [4 per cell]

# 11
Computed, not measured: Na2AgHg4 after structural relaxation at the PBE level of DFT.

Output
VASP energy: -0.971 eV/atom
Calculated volume: 457.22 Å³ per cell
Excess energy over the best structure of this formula in the dataset: 117 meV per atom
Magnetic moment: 0.0 μB per formula unit

a = 5.4414 Å, b = 5.4414 Å, c = 15.4418 Å
α = 90.00°, β = 90.00°, γ = 90.00°
Space group I4/mmm (No. 139)
Unique sites:
Na 0.0000 0.0000 0.1162 [4 per cell]
Ag 0.0000 0.0000 0.5000 [2 per cell]
Hg 0.0000 0.0000 0.3106 [4 per cell]
Hg 0.0000 0.5000 0.0000 [4 per cell]

# 12
Computed, not measured: Na6AgHg5 after structural relaxation at the PBE level of DFT.

Output
VASP energy: -1.228 eV/atom
Calculated volume: 612.36 Å³ per cell
Magnetic moment: 0.0 μB per formula unit

a = 16.1242 Å, b = 7.6621 Å, c = 5.1565 Å
α = 90.00°, β = 106.01°, γ = 90.00°
Space group C2/m (No. 12)
Unique sites:
Na 0.0000 0.2410 0.0000 [4 per cell]
Na 0.1644 0.2458 0.6645 [8 per cell]
Ag 0.0000 0.0000 0.5000 [2 per cell]
Hg 0.0000 0.5000 0.5000 [2 per cell]
Hg 0.1657 0.5000 0.1657 [4 per cell]
Hg 0.1683 0.0000 0.1707 [4 per cell]

# 13
Computed, not measured: Na11Ag4Hg9 after structural relaxation at the PBE level of DFT.

Output
VASP energy: -1.351 eV/atom
Calculated volume: 1214.04 Å³ per cell
Magnetic moment: 0.0 μB per formula unit

a = 13.9387 Å, b = 20.8957 Å, c = 4.1682 Å
α = 90.00°, β = 90.00°, γ = 90.00°
Space group Cmmm (No. 65)
Unique sites:
Na 0.0000 0.0000 0.0000 [2 per cell]
Na 0.0000 0.1651 0.0000 [4 per cell]
Na 0.0000 0.3622 0.0000 [4 per cell]
Na 0.2106 0.5000 0.0000 [4 per cell]
Na 0.2390 0.1722 0.0000 [8 per cell]
Ag 0.1485 0.4016 0.5000 [8 per cell]
Hg 0.0000 0.5000 0.5000 [2 per cell]
Hg 0.1127 0.2598 0.5000 [8 per cell]
Hg 0.1369 0.0771 0.5000 [8 per cell]